No. 1
DFT (PBE-GGA) results for a geometry-optimized TeIr2Ru structure.

```
4
Lattice="4.631 -1.479 0.000 4.631 1.479 0.000 -0.709 0.000 4.768" Properties=species:S:1:pos:R:3 pbc="T T T"
Te 0.000 0.000 0.000
Ir 1.698 0.000 3.465
Ir 6.855 0.000 1.302
Ru 4.276 0.000 2.384
```

Calculated values
- ΔE_f (raw) (eV per atom) = 0.391
- raw total energy (eV/cell) = -28.6
- magnetization (μB/f.u.) = 0.00

---

No. 2
DFT (PBE-GGA) results for a geometry-optimized Sr2UNi2S6 structure.

```
11
Lattice="7.032 0.000 0.000 -3.516 6.090 0.000 0.000 0.000 6.232" Properties=species:S:1:pos:R:3 pbc="T T T"
Sr 0.000 4.060 1.633
Sr 3.516 2.030 4.599
U 0.000 0.000 0.000
Ni 0.000 4.060 4.758
Ni 3.516 2.030 1.474
S -0.518 2.009 4.711
S -1.517 5.534 4.711
S 1.481 1.453 1.521
S 2.036 4.637 4.711
S 5.034 0.556 1.521
S 4.034 4.081 1.521
```

Calculated values
- ΔE_f (raw) (eV per atom) = -1.097
- raw total energy (eV/cell) = -63.1
- magnetization (μB/f.u.) = 0.00

---

No. 3
DFT (PBE-GGA) results for a geometry-optimized Tl2N2O structure.

```
5
Lattice="3.619 0.000 0.000 -1.805 3.147 0.000 -0.173 -1.460 11.331" Properties=species:S:1:pos:R:3 pbc="T T T"
Tl -0.085 0.314 4.153
Tl 1.726 1.372 7.178
N -0.028 2.870 0.482
N 1.669 -1.183 10.849
O 1.723 -0.730 5.665
```

Calculated values
- ΔE_f (raw) (eV per atom) = -0.337
- raw total energy (eV/cell) = -28.0
- magnetization (μB/f.u.) = 0.00

---

> What is the magnetization in the third record?

0.00 μB/f.u.